Below is a relaxed VPPd2Pb crystal, with properties calculated at the PBE-GGA level.

Computed properties:
The calculation puts the formation energy at 1480.4 meV/atom. For the total energy, the calculation gives -4.244 eV/atom. As for the symmetry: P4/mmm. Its density of states at the Fermi level is 6.07 states/eV/cell. The value obtained for the total magnetization is 0.17 μB per formula unit.

Cell lengths 4.968, 4.968, 5.101 Å; angles 90.00, 90.00, 90.00 degrees
Sites, in units of the cell vectors:
V (0.000, 0.000, 0.000)
P (0.500, 0.500, 0.000)
Pd (0.000, 0.500, 0.500)
Pd (0.500, 0.000, 0.500)
Pb (0.000, 0.000, 0.500)

***

Below is a relaxed LiMnCu crystal, with properties calculated at the PBE-GGA level.

Computed properties:
The calculation puts the formation energy at 215.1 meV/atom. For the total energy, the calculation gives -4.845 eV/atom. For the energy above the lowest structure with this stoichiometry, the calculation gives 49.1 meV per atom. As for the symmetry: P3m1. Its density of states at the Fermi level is 1.60 states/eV/cell. The value obtained for the total magnetization is 2.84 μB per formula unit.

Cell lengths 2.593, 2.593, 6.653 Å; angles 90.00, 90.00, 120.00 degrees
Sites, in units of the cell vectors:
Li (0.000, 0.000, 0.000)
Mn (0.667, 0.333, 0.345)
Cu (0.333, 0.667, 0.668)

***

Below is a relaxed Cd2NiAg crystal, with properties calculated at the PBE-GGA level.

Computed properties:
The calculation puts the formation energy at 61.7 meV/atom. For the total energy, the calculation gives -2.554 eV/atom. As for the symmetry: Pmm2. Its density of states at the Fermi level is 2.24 states/eV/cell. The value obtained for the total magnetization is 0.00 μB per formula unit.

Cell lengths 3.038, 4.728, 4.863 Å; angles 90.00, 90.00, 90.00 degrees
Sites, in units of the cell vectors:
Cd (0.000, 0.000, 0.000)
Cd (0.000, 0.500, 0.398)
Ni (0.500, 0.500, 0.894)
Ag (0.500, 0.000, 0.516)

***

- Which of these has the lowest formation energy?
  Cd2NiAg